1.
Below is a relaxed structure of BaNd4In5, with properties calculated at the PBE level.

Cell: 3.9457 3.9457 19.8348 Å, 90.00 90.00 90.00°
Element x y z (fractional)
1 Ba 0.0000 0.0000 0.0000
2 Nd 0.0000 0.0000 0.2128
3 Nd 0.0000 0.0000 0.4048
4 Nd 0.0000 0.0000 0.5952
5 Nd 0.0000 0.0000 0.7872
6 In 0.5000 0.5000 0.1219
7 In 0.5000 0.5000 0.3099
8 In 0.5000 0.5000 0.5000
9 In 0.5000 0.5000 0.6901
10 In 0.5000 0.5000 0.8781

Properties
* raw total energy: -39.35 eV for the cell shown
* Fermi-level density of states: 6.389 states/eV/f.u.
* ΔE_f: -0.47 eV per atom

2.
Below is a relaxed structure of Ba4NdIn5, with properties calculated at the PBE level.

Cell: 4.1626 4.1626 21.2966 Å, 90.00 90.00 90.00°
Element x y z (fractional)
1 Ba 0.0000 0.0000 0.1029
2 Ba 0.0000 0.0000 0.3109
3 Ba 0.0000 0.0000 0.6891
4 Ba 0.0000 0.0000 0.8971
5 Nd 0.0000 0.0000 0.5000
6 In 0.5000 0.5000 0.0000
7 In 0.5000 0.5000 0.2052
8 In 0.5000 0.5000 0.4209
9 In 0.5000 0.5000 0.5791
10 In 0.5000 0.5000 0.7948

Properties
* raw total energy: -30.15 eV for the cell shown
* Fermi-level density of states: 7.931 states/eV/f.u.
* ΔE_f: -0.40 eV per atom

3.
Below is a relaxed structure of BaNd2In3, with properties calculated at the PBE level.

Cell: 3.9802 3.9802 12.1517 Å, 90.00 90.00 90.00°
Element x y z (fractional)
1 Ba 0.0000 0.0000 0.0000
2 Nd 0.0000 0.0000 0.3437
3 Nd 0.0000 0.0000 0.6563
4 In 0.5000 0.5000 0.1976
5 In 0.5000 0.5000 0.5000
6 In 0.5000 0.5000 0.8024

Properties
* raw total energy: -22.36 eV for the cell shown
* Fermi-level density of states: 4.092 states/eV/f.u.
* ΔE_f: -0.45 eV per atom

4.
Below is a relaxed structure of Ba3NdIn2O8, with properties calculated at the PBE level.

Cell: 6.3077 6.3077 7.9007 Å, 90.00 90.00 120.00°
Element x y z (fractional)
1 Ba 0.0000 0.0000 0.0000
2 Ba 0.3333 0.6667 0.6338
3 Ba 0.6667 0.3333 0.3662
4 Nd 0.0000 0.0000 0.5000
5 In 0.3333 0.6667 0.1925
6 In 0.6667 0.3333 0.8075
7 O 0.1664 0.3327 0.3175
8 O 0.1664 0.8336 0.3175
9 O 0.3327 0.1664 0.6825
10 O 0.3333 0.6667 0.9399
11 O 0.6667 0.3333 0.0601
12 O 0.6673 0.8336 0.3175
13 O 0.8336 0.1664 0.6825
14 O 0.8336 0.6673 0.6825

Properties
* E_form (uncorrected): -2125 meV per atom
* raw total energy: -85.43 eV for the cell shown
* Fermi-level density of states: 14.323 states/eV/f.u.

5.
Below is a relaxed structure of Ba2NdInO5, with properties calculated at the PBE level.

Cell: 7.6433 7.6433 11.7492 Å, 90.00 90.00 152.04°
Element x y z (fractional)
1 Ba 0.1038 0.8962 0.5000
2 Ba 0.1398 0.8602 0.1016
3 Ba 0.8602 0.1398 0.6016
4 Ba 0.8962 0.1038 0.0000
5 Nd 0.2173 0.7827 0.8205
6 Nd 0.7827 0.2173 0.3205
7 In 0.4781 0.5219 0.2666
8 In 0.5219 0.4781 0.7666
9 O 0.0511 0.9489 0.8502
10 O 0.2795 0.7205 0.4542
11 O 0.3204 0.6796 0.1971
12 O 0.3744 0.6256 0.8060
13 O 0.4919 0.5081 0.5928
14 O 0.5081 0.4919 0.0928
15 O 0.6256 0.3744 0.3060
16 O 0.6796 0.3204 0.6971
17 O 0.7205 0.2795 0.9542
18 O 0.9489 0.0511 0.3502

Properties
* E_form (uncorrected): -2476 meV per atom
* raw total energy: -116.85 eV for the cell shown
* Fermi-level density of states: 0.000 states/eV/f.u.

6.
Below is a relaxed structure of BaPmNd2In4, with properties calculated at the PBE level.

Cell: 9.7115 9.7115 9.7115 Å, 33.50 33.50 33.50°
Element x y z (fractional)
1 Ba 0.0000 0.0000 0.0000
2 Pm 0.5000 0.5000 0.5000
3 Nd 0.2511 0.2511 0.2511
4 Nd 0.7489 0.7489 0.7489
5 In 0.1287 0.1287 0.1287
6 In 0.3802 0.3802 0.3802
7 In 0.6198 0.6198 0.6198
8 In 0.8713 0.8713 0.8713

Properties
* raw total energy: -30.39 eV for the cell shown
* Fermi-level density of states: 5.489 states/eV/f.u.
* ΔE_f: -0.40 eV per atom

7.
Below is a relaxed structure of BaPrNd2In4, with properties calculated at the PBE level.

Cell: 9.7420 9.7420 9.7420 Å, 33.51 33.51 33.51°
Element x y z (fractional)
1 Ba 0.0000 0.0000 0.0000
2 Pr 0.5000 0.5000 0.5000
3 Nd 0.2514 0.2514 0.2514
4 Nd 0.7486 0.7486 0.7486
5 In 0.1282 0.1282 0.1282
6 In 0.3793 0.3793 0.3793
7 In 0.6207 0.6207 0.6207
8 In 0.8718 0.8718 0.8718

Properties
* raw total energy: -30.44 eV for the cell shown
* Fermi-level density of states: 5.410 states/eV/f.u.
* ΔE_f: -0.41 eV per atom

8.
Below is a relaxed structure of Ba2NdInS5, with properties calculated at the PBE level.

Cell: 9.5030 9.5030 13.0482 Å, 90.00 90.00 154.38°
Element x y z (fractional)
1 Ba 0.1145 0.8855 0.5000
2 Ba 0.1304 0.8696 0.1322
3 Ba 0.8696 0.1304 0.6322
4 Ba 0.8855 0.1145 0.0000
5 Nd 0.2123 0.7877 0.8370
6 Nd 0.7877 0.2123 0.3370
7 In 0.4493 0.5507 0.2586
8 In 0.5507 0.4493 0.7586
9 S 0.0485 0.9515 0.8664
10 S 0.2897 0.7103 0.4798
11 S 0.3177 0.6823 0.1889
12 S 0.3587 0.6413 0.8195
13 S 0.4954 0.5046 0.5901
14 S 0.5046 0.4954 0.0901
15 S 0.6413 0.3587 0.3195
16 S 0.6823 0.3177 0.6889
17 S 0.7103 0.2897 0.9798
18 S 0.9515 0.0485 0.3664

Properties
* E_form (uncorrected): -1699 meV per atom
* raw total energy: -94.55 eV for the cell shown
* Fermi-level density of states: 0.000 states/eV/f.u.